[1]
The following is a PBE calculation of an optimized crystal structure of MgGa2Rh2, from Alexandria.

Cell lengths 7.2242, 7.2242, 2.9287 Å; angles 90.00, 90.00, 90.00 degrees
Space group P4/mbm (No. 127)
Asymmetric unit:
Mg 0.0000 0.0000 0.0000 (multiplicity 2)
Ga 0.1333 0.3667 0.0000 (multiplicity 4)
Rh 0.1641 0.6641 0.5000 (multiplicity 4)

Computed properties:
- ΔE to the lowest computed polymorph: 0 meV/atom

=====

[2]
The following is a PBE calculation of an optimized crystal structure of Mg2GaRh3, from Alexandria.

Cell lengths 4.3574, 13.0491, 3.0892 Å; angles 90.00, 90.00, 90.00 degrees
Space group Cmmm (No. 65)
Asymmetric unit:
Mg 0.0000 0.1692 0.0000 (multiplicity 4)
Ga 0.0000 0.5000 0.0000 (multiplicity 2)
Rh 0.0000 0.0000 0.5000 (multiplicity 2)
Rh 0.0000 0.3407 0.5000 (multiplicity 4)

Computed properties:
- ΔE to the lowest computed polymorph: 0 meV/atom

=====

[3]
The following is a PBE calculation of an optimized crystal structure of MgGa5Rh2, from Alexandria.

Cell lengths 3.2272, 8.2580, 9.8135 Å; angles 90.00, 90.00, 90.00 degrees
Space group Immm (No. 71)
Asymmetric unit:
Mg 0.0000 0.0000 0.0000 (multiplicity 2)
Ga 0.0000 0.2136 0.3594 (multiplicity 8)
Ga 0.0000 0.5000 0.0000 (multiplicity 2)
Rh 0.0000 0.5000 0.2564 (multiplicity 4)

Computed properties:
- Uncorrected energy: -0.3187 Ry/atom

=====

[4]
The following is a PBE calculation of an optimized crystal structure of Mg2Ga3Rh4, from Alexandria.

Cell lengths 7.6058, 4.3691, 8.2796 Å; angles 90.00, 98.38, 90.00 degrees
Space group C2/m (No. 12)
Asymmetric unit:
Mg 0.1273 0.0000 0.2741 (multiplicity 4)
Ga 0.0000 0.5000 0.5000 (multiplicity 2)
Ga 0.2369 0.0000 0.9045 (multiplicity 4)
Rh 0.0566 0.5000 0.8264 (multiplicity 4)
Rh 0.1837 0.0000 0.5997 (multiplicity 4)

Computed properties:
- Uncorrected energy: -0.3873 Ry/atom

=====

[5]
The following is a PBE calculation of an optimized crystal structure of Mg6GaRh2, from Alexandria.

Cell lengths 5.1697, 7.8385, 9.2869 Å; angles 90.00, 117.48, 90.00 degrees
Space group P2_1/c (No. 14)
Asymmetric unit:
Mg 0.0210 0.1601 0.4448 (multiplicity 4)
Mg 0.3837 0.6755 0.4266 (multiplicity 4)
Mg 0.4085 0.0329 0.3083 (multiplicity 4)
Ga 0.0000 0.0000 0.0000 (multiplicity 2)
Rh 0.1261 0.1135 0.7648 (multiplicity 4)

Computed properties:
- Uncorrected energy: -0.2417 Ry/atom

=====

[6]
The following is a PBE calculation of an optimized crystal structure of Mg7Ga5Rh, from Alexandria.

Cell lengths 5.5371, 8.9656, 10.3951 Å; angles 90.00, 90.00, 90.00 degrees
Space group Imm2 (No. 44)
Asymmetric unit:
Mg 0.0000 0.0000 0.0000 (multiplicity 2)
Mg 0.0000 0.0000 0.2785 (multiplicity 2)
Mg 0.0000 0.3112 0.6086 (multiplicity 4)
Mg 0.0000 0.3331 0.1032 (multiplicity 4)
Mg 0.0000 0.5000 0.3525 (multiplicity 2)
Ga 0.0000 0.5000 0.8620 (multiplicity 2)
Ga 0.2400 0.2423 0.8552 (multiplicity 8)
Rh 0.0000 0.0000 0.7494 (multiplicity 2)

Computed properties:
- Uncorrected energy: -0.1978 Ry/atom